Material: ZnIrPt
Method: DFT, PBE
State: relaxed

Summary:
Raw total energy = -32.30 eV per cell

Geometry as POSCAR:
```
ZnIrPt
1.0
-1.8326 -2.3642 -2.3834
2.2857 -1.2978 -0.4701
-1.9174 -6.1038 7.5292
Zn Ir Pt
2 2 2
Direct
0.5000 0.0000 0.8406
0.5000 0.5000 0.3406
0.0000 0.0000 0.4709
0.0000 0.5000 0.9709
0.0000 0.0000 0.1963
0.0000 0.5000 0.6963
```